PrAlSb GGA-PBE relaxed; energy = -4.2575 eV/atom; energy relative to the elements, uncorrected = -43 meV/atom; space group = No. 180
1.0
6.434 0.000 0.000
-3.217 5.572 0.000
0.000 0.000 14.837
Pr Al Sb
6 6 6
Cartesian
-1.608 2.786 5.496 Pr
-1.608 2.786 14.286 Pr
3.217 0.000 4.395 Pr
3.217 0.000 10.442 Pr
1.608 2.786 0.551 Pr
1.608 2.786 9.340 Pr
-0.536 3.405 2.473 Al
0.536 3.405 12.364 Al
0.000 4.334 7.418 Al
3.217 1.238 7.418 Al
2.681 2.167 12.364 Al
3.753 2.167 2.473 Al
0.000 0.000 2.473 Sb
0.000 0.000 7.418 Sb
0.000 0.000 12.364 Sb
-1.608 2.786 9.891 Sb
3.217 0.000 0.000 Sb
1.608 2.786 4.946 Sb